First-principles (PBE) data for a relaxed TbPr2Dy5 crystal, as listed in the Alexandria database.

As for the total magnetic moment: 0.00 μB per cell. Its calculated total energy is -4.6277 eV per atom. The value obtained for the density of states at the Fermi level is 1.48 states/eV/atom.

The structure belongs to space group I4/mmm (No. 139); the cell edges are 5.085, 5.085 and 20.200 Å and the angles 90.00°, 90.00° and 90.00°. Symmetry generates all atoms from Tb at (0.000, 0.000, 0.000), Pr at (0.000, 0.000, 0.250), Dy at (0.000, 0.000, 0.500) and Dy at (0.000, 0.500, 0.122).

First-principles (PBE) data for a relaxed Gd3YIr crystal, as listed in the Alexandria database.

As for the total magnetic moment: 22.35 μB per cell. Its calculated total energy is -11.7527 eV per atom. The value obtained for the density of states at the Fermi level is 1.52 states/eV/atom.

The structure belongs to space group Pm-3m (No. 221); the cell edges are 5.475, 5.475 and 5.475 Å and the angles 90.00°, 90.00° and 90.00°. Symmetry generates all atoms from Gd at (0.000, 0.000, 0.500), Y at (0.500, 0.500, 0.500) and Ir at (0.000, 0.000, 0.000).

First-principles (PBE) data for a relaxed Y2VGaH crystal, as listed in the Alexandria database.

As for the total magnetic moment: 2.73 μB per cell. Its calculated total energy is -5.9021 eV per atom. The value obtained for the density of states at the Fermi level is 0.71 states/eV/atom.

The structure belongs to space group P4/mmm (No. 123); the cell edges are 5.024, 5.024 and 3.684 Å and the angles 90.00°, 90.00° and 90.00°. Symmetry generates all atoms from Y at (0.000, 0.500, 0.000), V at (0.000, 0.000, 0.500), Ga at (0.500, 0.500, 0.500) and H at (0.000, 0.000, 0.000).

First-principles (PBE) data for a relaxed YInPt crystal, as listed in the Alexandria database.

As for the total magnetic moment: 0.00 μB per cell. Its calculated total energy is -5.9424 eV per atom. The value obtained for the density of states at the Fermi level is 1.41 states/eV/atom.

The structure belongs to space group F-43m (No. 216); the cell edges are 6.686, 6.686 and 6.686 Å and the angles 90.00°, 90.00° and 90.00°. Symmetry generates all atoms from Y at (0.000, 0.000, 0.000), In at (0.000, 0.000, 0.500) and Pt at (0.250, 0.250, 0.750).

First-principles (PBE) data for a relaxed Y5SnRh4 crystal, as listed in the Alexandria database.

As for the total magnetic moment: 0.00 μB per cell. Its calculated total energy is -7.3756 eV per atom. The value obtained for the density of states at the Fermi level is 0.37 states/eV/atom.

The structure belongs to space group P4/mmm (No. 123); the cell edges are 3.374, 3.374 and 18.997 Å and the angles 90.00°, 90.00° and 90.00°. Symmetry generates all atoms from Y at (0.000, 0.000, 0.000), Y at (0.000, 0.000, 0.188), Y at (0.000, 0.000, 0.374), Sn at (0.500, 0.500, 0.500), Rh at (0.500, 0.500, 0.094) and Rh at (0.500, 0.500, 0.282).

First-principles (PBE) data for a relaxed PuMnTcMo crystal, as listed in the Alexandria database.

As for the total magnetic moment: 11.02 μB per cell. Its calculated total energy is -10.9640 eV per atom. The value obtained for the density of states at the Fermi level is 1.56 states/eV/atom.

The structure belongs to space group F-43m (No. 216); the cell edges are 6.391, 6.391 and 6.391 Å and the angles 90.00°, 90.00° and 90.00°. Symmetry generates all atoms from Pu at (0.000, 0.000, 0.000), Mn at (0.250, 0.250, 0.250), Tc at (0.250, 0.250, 0.750) and Mo at (0.000, 0.000, 0.500).

First-principles (PBE) data for a relaxed Zr3N4 crystal, as listed in the Alexandria database.

As for the total magnetic moment: 0.00 μB per cell. Its calculated total energy is -9.8488 eV per atom. Its energy relative to the elements, uncorrected is -1428 meV/atom.

The structure belongs to space group R-3m (No. 166, hexagonal axes); the cell edges are 3.4627, 3.4627 and 25.5207 Å and the angles 90.00°, 90.00° and 120.00°. Symmetry generates all atoms from Zr at (0.0000, 0.0000, 0.0000), Zr at (0.0000, 0.0000, 0.2223), N at (0.0000, 0.0000, 0.1322) and N at (0.0000, 0.0000, 0.3783).

First-principles (PBE) data for a relaxed MgTlFeSb2 crystal, as listed in the Alexandria database.

As for the total magnetic moment: 0.17 μB per cell. Its calculated total energy is -2.8696 eV per atom. Its energy relative to the elements, uncorrected is 1264 meV/atom. The value obtained for the density of states at the Fermi level is 1.77 states/eV/atom.

The structure belongs to space group P4/mmm (No. 123); the cell edges are 5.660, 5.660 and 4.874 Å and the angles 90.00°, 90.00° and 90.00°. Symmetry generates all atoms from Mg at (0.000, 0.000, 0.000), Tl at (0.500, 0.500, 0.500), Fe at (0.500, 0.500, 0.000) and Sb at (0.000, 0.500, 0.500).

First-principles (PBE) data for a relaxed HfGeAu2 crystal, as listed in the Alexandria database.

As for the total magnetic moment: 0.15 μB per cell. Its calculated total energy is -5.5217 eV per atom. The value obtained for the density of states at the Fermi level is 0.57 states/eV/atom.

The structure belongs to space group P4/mmm (No. 123); the cell edges are 3.376, 3.376 and 6.751 Å and the angles 90.00°, 90.00° and 90.00°. Symmetry generates all atoms from Hf at (0.000, 0.000, 0.000), Ge at (0.000, 0.000, 0.500) and Au at (0.500, 0.500, 0.245).

First-principles (PBE) data for a relaxed CsS6Br2 crystal, as listed in the Alexandria database.

As for the total magnetic moment: 0.00 μB per cell. Its calculated total energy is -3.3110 eV per atom. Its energy relative to the elements, uncorrected is -93 meV/atom. The value obtained for the density of states at the Fermi level is 0.19 states/eV/atom.

The structure belongs to space group C2/m (No. 12); the cell edges are 10.934, 5.038 and 10.786 Å and the angles 90.00°, 91.44° and 90.00°. Symmetry generates all atoms from Cs at (0.000, 0.000, 0.000), S at (0.126, 0.299, 0.428), S at (0.220, 0.500, 0.285) and Br at (0.193, 0.500, 0.836).

First-principles (PBE) data for a relaxed CdTeMo2 crystal, as listed in the Alexandria database.

As for the total magnetic moment: 1.16 μB per cell. Its calculated total energy is -5.7359 eV per atom. Its energy relative to the elements, uncorrected is 694 meV/atom. The value obtained for the density of states at the Fermi level is 0.82 states/eV/atom.

The structure belongs to space group F-43m (No. 216); the cell edges are 6.728, 6.728 and 6.728 Å and the angles 90.00°, 90.00° and 90.00°. Symmetry generates all atoms from Cd at (0.000, 0.000, 0.000), Te at (0.250, 0.250, 0.750), Mo at (0.000, 0.000, 0.500) and Mo at (0.250, 0.250, 0.250).

First-principles (PBE) data for a relaxed CuPtAu2O8 crystal, as listed in the Alexandria database.

As for the total magnetic moment: 0.02 μB per cell. Its calculated total energy is -4.3729 eV per atom. Its energy relative to the elements, uncorrected is 324 meV/atom. The value obtained for the density of states at the Fermi level is 0.94 states/eV/atom.

The structure belongs to space group I-4m2 (No. 119); the cell edges are 6.336, 6.336 and 7.213 Å and the angles 90.00°, 90.00° and 90.00°. Symmetry generates all atoms from Cu at (0.000, 0.000, 0.000), Pt at (0.000, 0.500, 0.250), Au at (0.000, 0.000, 0.500), Au at (0.000, 0.500, 0.750), O at (0.000, 0.186, 0.267) and O at (0.000, 0.319, 0.978).

- Which value of calculated total energy does entry 12 give?
  -4.3729 eV per atom

- Look up the calculated total energy of the third one.
  -5.9021 eV per atom

Please write out number 3 again, unchanged.
First-principles (PBE) data for a relaxed Y2VGaH crystal, as listed in the Alexandria database.

As for the total magnetic moment: 2.73 μB per cell. Its calculated total energy is -5.9021 eV per atom. The value obtained for the density of states at the Fermi level is 0.71 states/eV/atom.

The structure belongs to space group P4/mmm (No. 123); the cell edges are 5.024, 5.024 and 3.684 Å and the angles 90.00°, 90.00° and 90.00°. Symmetry generates all atoms from Y at (0.000, 0.500, 0.000), V at (0.000, 0.000, 0.500), Ga at (0.500, 0.500, 0.500) and H at (0.000, 0.000, 0.000).